Record 1
A relaxed Mg16Al12Ag crystal. Source: Alexandria, functional PBE.

Geometry as extended XYZ:
```
29
Lattice="5.2514 -7.3796 0.0000 5.2514 7.3796 0.0000 -5.2166 0.0000 7.4450" Properties=species:S:1:pos:R:3 pbc="T T T"
Mg 0.0000 0.0000 0.0000
Mg 1.9785 2.9594 0.1948
Mg 1.6384 4.8076 2.5863
Mg -1.7628 0.0000 2.5781
Mg -0.2396 5.0411 5.5369
Mg -0.2604 2.3047 7.0247
Mg 3.0139 0.0000 0.3834
Mg 1.9985 2.8572 4.8971
Mg 0.2553 0.0000 5.0758
Mg 1.9785 -2.9594 0.1948
Mg 3.8892 1.9823 2.6062
Mg -0.2604 -2.3047 7.0247
Mg 1.6384 -4.8076 2.5863
Mg 3.8892 -1.9823 2.6062
Mg -0.2396 -5.0411 5.5369
Mg 1.9985 -2.8572 4.8971
Al -2.6851 1.3727 5.2675
Al 1.0888 1.3444 2.5042
Al 4.3999 4.6367 1.1724
Al -2.6851 -1.3727 5.2675
Al 1.0888 -1.3444 2.5042
Al 4.4367 4.6520 3.9159
Al 2.5329 1.3706 7.3059
Al 5.8227 0.0000 1.2361
Al 4.3999 -4.6367 1.1724
Al 5.8506 0.0000 3.9281
Al 2.5329 -1.3706 7.3059
Al 4.4367 -4.6520 3.9159
Ag 3.3049 0.0000 4.9689
```

Calculated values
The polymorph energy (0 for the lowest one) comes out at 0 meV per atom. The density of states at the Fermi level is 0.34 states/eV per atom. The formation energy from the elements comes out at -113 kJ/mol of formula units. As for the symmetry: Cm. As for the total moment: 0.00 μB/cell. The total energy comes out at -2.567 eV/atom.

---

Record 2
A relaxed MgAl3Ag3 crystal. Source: Alexandria, functional PBE.

Geometry as extended XYZ:
```
14
Lattice="3.8483 2.2218 5.2895 -3.8483 2.2218 5.2895 0.0000 -4.4436 5.2895" Properties=species:S:1:pos:R:3 pbc="T T T"
Mg 0.0000 0.0000 2.6901
Mg 0.0000 0.0000 13.1784
Al -1.2767 -2.2397 6.0203
Al -2.5780 -0.0143 9.8482
Al -1.3013 2.2255 6.0203
Al 1.3013 -2.2255 9.8482
Al 2.5780 0.0142 6.0203
Al 1.2766 2.2397 9.8482
Ag -2.4098 0.0130 7.1281
Ag -1.2162 -2.0804 8.7404
Ag 1.1936 -2.0934 7.1281
Ag -1.1936 2.0934 8.7404
Ag 1.2162 2.0804 7.1281
Ag 2.4098 -0.0130 8.7404
```

Calculated values
The density of states at the Fermi level is 0.34 states/eV per atom. The formation energy from the elements comes out at -34 kJ/mol of formula units. As for the symmetry: R-3. As for the total moment: 0.00 μB/cell. The total energy comes out at -3.105 eV/atom.